Entry 1:
Compound: RbTc3Ni
Source: Alexandria
Functional: PBE
Structure: relaxed

Calculated values
Excess energy over the best structure of this formula in the dataset   0 meV per atom
Energy relative to the elements   9.3 eV/f.u.

CIF file:
```
data_RbTc3Ni
_chemical_formula_sum 'Rb1 Tc3 Ni1'
_cell_length_a 4.7400
_cell_length_b 4.7400
_cell_length_c 4.7400
_cell_angle_alpha 90.00
_cell_angle_beta 90.00
_cell_angle_gamma 90.00
_symmetry_space_group_name_H-M 'P m -3 m'
_symmetry_Int_Tables_number 221
_symmetry_space_group_name_Hall '-P 4 2 3'
loop_
_atom_site_label
_atom_site_type_symbol
_atom_site_fract_x
_atom_site_fract_y
_atom_site_fract_z
Rb1 Rb 0.0000 0.0000 0.0000
Tc1 Tc 0.0000 0.5000 0.5000
Ni1 Ni 0.5000 0.5000 0.5000
```

=====

Entry 2:
Compound: AlAg5
Source: Alexandria
Functional: PBE
Structure: relaxed

Calculated values
Excess energy over the best structure of this formula in the dataset   8 meV per atom
Energy relative to the elements   -0.1 eV/f.u.

CIF file:
```
data_AlAg5
_chemical_formula_sum 'Al1 Ag5'
_cell_length_a 3.9870
_cell_length_b 4.1943
_cell_length_c 6.5730
_cell_angle_alpha 90.00
_cell_angle_beta 107.51
_cell_angle_gamma 90.00
_symmetry_space_group_name_H-M 'P 1 2/m 1'
_symmetry_Int_Tables_number 10
loop_
_symmetry_equiv_pos_as_xyz
'x,y,z'
'-x,-y,-z'
'-x,y,-z'
'x,-y,z'
loop_
_atom_site_label
_atom_site_type_symbol
_atom_site_fract_x
_atom_site_fract_y
_atom_site_fract_z
Al1 Al 0.0000 0.0000 0.0000
Ag1 Ag 0.1656 0.5000 0.3314
Ag2 Ag 0.3386 0.0000 0.6773
Ag3 Ag 0.5000 0.5000 0.0000
```

=====

Entry 3:
Compound: Na2SiPt3
Source: Alexandria
Functional: PBE
Structure: relaxed

Calculated values
ΔE_f (raw)   -0.5533 eV per atom

CIF file:
```
data_Na2SiPt3
_chemical_formula_sum 'Na6 Si3 Pt9'
_cell_length_a 5.5287
_cell_length_b 5.5287
_cell_length_c 11.6099
_cell_angle_alpha 90.00
_cell_angle_beta 90.00
_cell_angle_gamma 120.00
_symmetry_space_group_name_H-M 'R -3 m'
_symmetry_Int_Tables_number 166
_symmetry_space_group_name_Hall '-R 3 2"'
loop_
_atom_site_label
_atom_site_type_symbol
_atom_site_fract_x
_atom_site_fract_y
_atom_site_fract_z
Na1 Na 0.0000 0.0000 0.1198
Si1 Si 0.0000 0.0000 0.5000
Pt1 Pt 0.0000 0.5000 0.0000
```

=====

Entry 4:
Compound: Ca2MnMoS
Source: Alexandria
Functional: PBE
Structure: relaxed

Calculated values
ΔE_f (raw)   0.4881 eV per atom

CIF file:
```
data_Ca2MnMoS
_chemical_formula_sum 'Ca2 Mn1 Mo1 S1'
_cell_length_a 5.4786
_cell_length_b 5.4786
_cell_length_c 4.1970
_cell_angle_alpha 90.00
_cell_angle_beta 90.00
_cell_angle_gamma 90.00
_symmetry_space_group_name_H-M 'P 4/m m m'
_symmetry_Int_Tables_number 123
_symmetry_space_group_name_Hall '-P 4 2'
loop_
_atom_site_label
_atom_site_type_symbol
_atom_site_fract_x
_atom_site_fract_y
_atom_site_fract_z
Ca1 Ca 0.0000 0.5000 0.0000
Mn1 Mn 0.0000 0.0000 0.0000
Mo1 Mo 0.0000 0.0000 0.5000
S1 S 0.5000 0.5000 0.5000
```

=====

Entry 5:
Compound: TbPmAsSe
Source: Alexandria
Functional: PBE
Structure: relaxed

Calculated values
ΔE_f (raw)   -1.7300 eV per atom

CIF file:
```
data_TbPmAsSe
_chemical_formula_sum 'Tb3 Pm3 As3 Se3'
_cell_length_a 4.1630
_cell_length_b 4.1630
_cell_length_c 20.5537
_cell_angle_alpha 90.00
_cell_angle_beta 90.00
_cell_angle_gamma 120.00
_symmetry_space_group_name_H-M 'R 3 m'
_symmetry_Int_Tables_number 160
_symmetry_space_group_name_Hall 'R 3 -2"'
loop_
_atom_site_label
_atom_site_type_symbol
_atom_site_fract_x
_atom_site_fract_y
_atom_site_fract_z
Tb1 Tb 0.0000 0.0000 0.0000
Pm1 Pm 0.0000 0.0000 0.4922
As1 As 0.0000 0.0000 0.7436
Se1 Se 0.0000 0.0000 0.2486
```

=====

Entry 6:
Compound: NbRe3Te
Source: Alexandria
Functional: PBE
Structure: relaxed

Calculated values
Excess energy over the best structure of this formula in the dataset   0 meV per atom
ΔE_f (raw)   2.3198 eV per atom

CIF file:
```
data_NbRe3Te
_chemical_formula_sum 'Nb1 Re3 Te1'
_cell_length_a 4.8081
_cell_length_b 4.8081
_cell_length_c 4.8081
_cell_angle_alpha 90.00
_cell_angle_beta 90.00
_cell_angle_gamma 90.00
_symmetry_space_group_name_H-M 'P m -3 m'
_symmetry_Int_Tables_number 221
_symmetry_space_group_name_Hall '-P 4 2 3'
loop_
_atom_site_label
_atom_site_type_symbol
_atom_site_fract_x
_atom_site_fract_y
_atom_site_fract_z
Nb1 Nb 0.0000 0.0000 0.0000
Re1 Re 0.0000 0.0000 0.5000
Te1 Te 0.5000 0.5000 0.5000
```

=====

Entry 7:
Compound: Dy2Cu4Ni3
Source: Alexandria
Functional: PBE
Structure: relaxed

Calculated values
Energy relative to the elements   -2.9 eV/f.u.

CIF file:
```
data_Dy2Cu4Ni3
_chemical_formula_sum 'Dy8 Cu16 Ni12'
_cell_length_a 4.8930
_cell_length_b 8.6298
_cell_length_c 12.6032
_cell_angle_alpha 90.00
_cell_angle_beta 90.00
_cell_angle_gamma 90.00
_symmetry_space_group_name_H-M 'F m m m'
_symmetry_Int_Tables_number 69
_symmetry_space_group_name_Hall '-F 2 2'
loop_
_atom_site_label
_atom_site_type_symbol
_atom_site_fract_x
_atom_site_fract_y
_atom_site_fract_z
Dy1 Dy 0.0000 0.0000 0.1304
Cu1 Cu 0.0000 0.1687 0.3321
Ni1 Ni 0.0000 0.0000 0.5000
Ni2 Ni 0.2500 0.2500 0.0000
```

=====

Entry 8:
Compound: TbCe2SmS5
Source: Alexandria
Functional: PBE
Structure: relaxed

Calculated values
ΔE_f (raw)   -1.4613 eV per atom

CIF file:
```
data_TbCe2SmS5
_chemical_formula_sum 'Tb1 Ce2 Sm1 S5'
_cell_length_a 4.9319
_cell_length_b 4.9319
_cell_length_c 10.4645
_cell_angle_alpha 90.00
_cell_angle_beta 90.00
_cell_angle_gamma 90.00
_symmetry_space_group_name_H-M 'P 4/m m m'
_symmetry_Int_Tables_number 123
_symmetry_space_group_name_Hall '-P 4 2'
loop_
_atom_site_label
_atom_site_type_symbol
_atom_site_fract_x
_atom_site_fract_y
_atom_site_fract_z
Tb1 Tb 0.0000 0.0000 0.0000
Ce1 Ce 0.5000 0.5000 0.1945
Sm1 Sm 0.0000 0.0000 0.5000
S1 S 0.0000 0.0000 0.2531
S2 S 0.0000 0.5000 0.0000
S3 S 0.5000 0.5000 0.5000
```

=====

Entry 9:
Compound: Ac2Cu4Ge3Pb
Source: Alexandria
Functional: PBE
Structure: relaxed

Calculated values
Energy relative to the elements   -4.1 eV/f.u.

CIF file:
```
data_Ac2Cu4Ge3Pb
_chemical_formula_sum 'Ac2 Cu4 Ge3 Pb1'
_cell_length_a 4.4238
_cell_length_b 4.4238
_cell_length_c 10.5981
_cell_angle_alpha 90.00
_cell_angle_beta 90.00
_cell_angle_gamma 90.00
_symmetry_space_group_name_H-M 'P -4 m 2'
_symmetry_Int_Tables_number 115
loop_
_symmetry_equiv_pos_as_xyz
'x,y,z'
'y,-x,-z'
'-x,-y,z'
'-y,x,-z'
'-x,y,z'
'-y,-x,-z'
'x,-y,z'
'y,x,-z'
loop_
_atom_site_label
_atom_site_type_symbol
_atom_site_fract_x
_atom_site_fract_y
_atom_site_fract_z
Ac1 Ac 0.0000 0.5000 0.2302
Cu1 Cu 0.0000 0.0000 0.0000
Cu2 Cu 0.0000 0.5000 0.6480
Cu3 Cu 0.5000 0.5000 0.0000
Ge1 Ge 0.0000 0.5000 0.8801
Ge2 Ge 0.5000 0.5000 0.5000
Pb1 Pb 0.0000 0.0000 0.5000
```

=====

Entry 10:
Compound: Mg2Sc3Pa
Source: Alexandria
Functional: PBE
Structure: relaxed

Calculated values
Energy relative to the elements   0.1 eV/f.u.

CIF file:
```
data_Mg2Sc3Pa
_chemical_formula_sum 'Mg2 Sc3 Pa1'
_cell_length_a 3.2435
_cell_length_b 3.2435
_cell_length_c 13.5759
_cell_angle_alpha 90.00
_cell_angle_beta 90.00
_cell_angle_gamma 90.00
_symmetry_space_group_name_H-M 'P 4/m m m'
_symmetry_Int_Tables_number 123
_symmetry_space_group_name_Hall '-P 4 2'
loop_
_atom_site_label
_atom_site_type_symbol
_atom_site_fract_x
_atom_site_fract_y
_atom_site_fract_z
Mg1 Mg 0.0000 0.0000 0.1629
Sc1 Sc 0.5000 0.5000 0.0000
Sc2 Sc 0.5000 0.5000 0.3300
Pa1 Pa 0.0000 0.0000 0.5000
```

=====

Entry 11:
Compound: Pr3YSc
Source: Alexandria
Functional: PBE
Structure: relaxed

Calculated values
Excess energy over the best structure of this formula in the dataset   4 meV per atom
Energy relative to the elements   0.8 eV/f.u.

CIF file:
```
data_Pr3YSc
_chemical_formula_sum 'Pr6 Y2 Sc2'
_cell_length_a 5.3177
_cell_length_b 7.4703
_cell_length_c 8.4394
_cell_angle_alpha 90.00
_cell_angle_beta 90.00
_cell_angle_gamma 90.00
_symmetry_space_group_name_H-M 'P m m n'
_symmetry_Int_Tables_number 59
loop_
_symmetry_equiv_pos_as_xyz
'x,y,z'
'-x,-y,-z'
'-x+1/2,-y+1/2,z'
'x+1/2,y+1/2,-z'
'x+1/2,-y,-z'
'-x+1/2,y,z'
'-x,y+1/2,-z'
'x,-y+1/2,z'
loop_
_atom_site_label
_atom_site_type_symbol
_atom_site_fract_x
_atom_site_fract_y
_atom_site_fract_z
Pr1 Pr 0.2500 0.0428 0.2329
Pr2 Pr 0.2500 0.2500 0.7763
Y1 Y 0.2500 0.7500 0.5550
Sc1 Sc 0.2500 0.7500 0.9339
```

=====

Entry 12:
Compound: CoSnPt3
Source: Alexandria
Functional: PBE
Structure: relaxed

Calculated values
Excess energy over the best structure of this formula in the dataset   0 meV per atom
Energy relative to the elements   3.1 eV/f.u.

CIF file:
```
data_CoSnPt3
_chemical_formula_sum 'Co1 Sn1 Pt3'
_cell_length_a 4.6243
_cell_length_b 4.6243
_cell_length_c 4.6243
_cell_angle_alpha 90.00
_cell_angle_beta 90.00
_cell_angle_gamma 90.00
_symmetry_space_group_name_H-M 'P m -3 m'
_symmetry_Int_Tables_number 221
_symmetry_space_group_name_Hall '-P 4 2 3'
loop_
_atom_site_label
_atom_site_type_symbol
_atom_site_fract_x
_atom_site_fract_y
_atom_site_fract_z
Co1 Co 0.0000 0.0000 0.0000
Sn1 Sn 0.5000 0.5000 0.5000
Pt1 Pt 0.0000 0.0000 0.5000
```

=====

Copy entry 2 word for word.
Compound: AlAg5
Source: Alexandria
Functional: PBE
Structure: relaxed

Calculated values
Excess energy over the best structure of this formula in the dataset   8 meV per atom
Energy relative to the elements   -0.1 eV/f.u.

CIF file:
```
data_AlAg5
_chemical_formula_sum 'Al1 Ag5'
_cell_length_a 3.9870
_cell_length_b 4.1943
_cell_length_c 6.5730
_cell_angle_alpha 90.00
_cell_angle_beta 107.51
_cell_angle_gamma 90.00
_symmetry_space_group_name_H-M 'P 1 2/m 1'
_symmetry_Int_Tables_number 10
loop_
_symmetry_equiv_pos_as_xyz
'x,y,z'
'-x,-y,-z'
'-x,y,-z'
'x,-y,z'
loop_
_atom_site_label
_atom_site_type_symbol
_atom_site_fract_x
_atom_site_fract_y
_atom_site_fract_z
Al1 Al 0.0000 0.0000 0.0000
Ag1 Ag 0.1656 0.5000 0.3314
Ag2 Ag 0.3386 0.0000 0.6773
Ag3 Ag 0.5000 0.5000 0.0000
```

=====

Number 8 is which compound? TbCe2SmS5